A relaxed structure of ThSc2Sn, computed with PBE.

Offset from the most stable computed form ... 0.000 eV per atom
Magnetic moment ... 0.0000 μB per atom
ρ ... 7.24 g/cm³
Raw total energy ... -6.381 eV per atom
SG ... P4/mmm, No. 123
V ... 25.3 Å³ per atom
Calculated formation energy ... -0.359 eV/atom

abc: 4.473 4.753 4.753
angles: 90.00 90.00 90.00
Element x y z (fractional)
1 Th 0.500 0.500 0.500
2 Sc 0.000 0.500 0.000
3 Sc 0.000 0.000 0.500
4 Sn 0.500 0.000 0.000

***

A relaxed structure of ReS4F, computed with PBE.

Magnetic moment ... 0.0000 μB per atom
ρ ... 3.76 g/cm³
Formation energy without anion corrections ... -0.442 eV/atom
Raw total energy ... -5.580 eV per atom
SG ... P-1, No. 2
V ... 24.6 Å³ per atom

abc: 6.554 7.897 7.341
angles: 114.41 102.30 110.31
Element x y z (fractional)
1 S 0.560 0.025 0.222
2 Re 0.781 0.949 0.991
3 S 0.914 0.032 0.754
4 S 0.531 0.289 0.976
5 F 0.789 0.550 0.569
6 S 0.440 0.975 0.778
7 S 0.086 0.968 0.246
8 S 0.899 0.688 0.847
9 S 0.469 0.711 0.024
10 Re 0.219 0.051 0.009
11 F 0.211 0.450 0.431
12 S 0.101 0.312 0.153

***

A relaxed structure of SbTeAu2, computed with PBE.

Offset from the most stable computed form ... 0.201 eV per atom
Magnetic moment ... 0.0000 μB per atom
ρ ... 11.17 g/cm³
Formation energy without anion corrections ... 0.163 eV/atom
Raw total energy ... -3.292 eV per atom
SG ... Cmm2, No. 35
V ... 23.9 Å³ per atom

abc: 3.183 3.183 9.720
angles: 90.00 90.00 103.91
Element x y z (fractional)
1 Au 0.000 0.000 0.027
2 Te 0.500 0.500 0.792
3 Sb 0.000 0.000 0.448
4 Au 0.500 0.500 0.233

***

A relaxed structure of Tb2PaRhN4, computed with PBE.

Magnetic moment ... 0.0000 μB per atom
ρ ... 10.33 g/cm³
Formation energy without anion corrections ... -1.132 eV/atom
Raw total energy ... -8.558 eV per atom
SG ... Cmcm, No. 63
V ... 14.2 Å³ per atom

abc: 3.387 6.004 11.666
angles: 90.00 90.00 106.38
Element x y z (fractional)
1 N 0.713 0.425 0.867
2 Pa 0.116 0.231 0.750
3 N 0.530 0.061 0.250
4 Pa 0.884 0.769 0.250
5 N 0.470 0.939 0.750
6 Tb 0.628 0.256 0.053
7 Rh 0.855 0.710 0.750
8 Tb 0.372 0.744 0.947
9 N 0.713 0.425 0.633
10 Tb 0.372 0.744 0.553
11 N 0.000 0.000 0.500
12 N 0.287 0.575 0.133
13 N 0.287 0.575 0.367
14 Tb 0.628 0.256 0.447
15 Rh 0.145 0.290 0.250
16 N 0.000 0.000 0.000

***

A relaxed structure of LaCeCd, computed with PBE.

Offset from the most stable computed form ... 0.000 eV per atom
Magnetic moment ... 0.1565 μB per atom
ρ ... 7.65 g/cm³
Raw total energy ... -4.061 eV per atom
SG ... Cmcm, No. 63
V ... 28.3 Å³ per atom
Calculated formation energy ... -0.136 eV/atom

abc: 3.534 5.678 8.653
angles: 90.00 101.78 90.00
Element x y z (fractional)
1 Cd 0.603 0.750 0.205
2 La 0.926 0.750 0.851
3 La 0.074 0.250 0.149
4 Cd 0.397 0.250 0.795
5 Ce 0.263 0.750 0.526
6 Ce 0.737 0.250 0.474

***

A relaxed structure of MnCrCu2, computed with PBE.

Magnetic moment ... 0.0138 μB per atom
ρ ... 7.70 g/cm³
Raw total energy ... -6.598 eV per atom
SG ... Pmm2, No. 25
V ... 12.6 Å³ per atom
Calculated formation energy ... 0.148 eV/atom

abc: 2.793 3.419 5.287
angles: 90.00 90.00 90.00
Element x y z (fractional)
1 Cu 0.500 0.500 0.241
2 Cr 0.500 0.500 0.738
3 Mn 0.000 0.000 0.510
4 Cu 0.000 0.000 0.011

***

A relaxed structure of CsMgSe2, computed with PBE.

Magnetic moment ... 0.2588 μB per atom
ρ ... 3.58 g/cm³
Formation energy without anion corrections ... -0.613 eV/atom
Raw total energy ... -2.967 eV per atom
SG ... R-3m, No. 166
V ... 36.6 Å³ per atom

abc: 5.490 5.490 5.490
angles: 72.44 72.44 72.44
Element x y z (fractional)
1 Se 0.797 0.797 0.797
2 Cs 0.500 0.500 0.500
3 Se 0.203 0.203 0.203
4 Mg 0.000 0.000 0.000

***

A relaxed structure of Cd4In2AgHg, computed with PBE.

Magnetic moment ... 0.0000 μB per atom
ρ ... 8.77 g/cm³
Raw total energy ... -1.514 eV per atom
SG ... P1, No. 1
V ... 23.4 Å³ per atom
Calculated formation energy ... 0.023 eV/atom

abc: 7.717 8.167 6.411
angles: 131.31 129.43 86.01
Element x y z (fractional)
1 In 0.491 0.896 0.824
2 Ag 0.900 0.977 0.865
3 In 0.381 0.476 0.870
4 Cd 0.881 0.477 0.375
5 Cd 0.442 0.354 0.324
6 Cd 0.961 0.873 0.322
7 Cd 0.390 0.979 0.349
8 Hg 0.941 0.355 0.846